Below is crystalline MnPNF2 at its relaxed geometry, with properties calculated at the GGA-PBEsol level.

It has space group P4/mmm (No. 123), with a = 4.295 Å, b = 4.295 Å, c = 3.341 Å, α = 90.00°, β = 90.00° and γ = 90.00°. The inequivalent atoms are Mn at (0.000, 0.000, 0.000), P at (0.500, 0.500, 0.500), N at (0.500, 0.500, 0.000) and F at (0.000, 0.500, 0.500).

The value obtained for the volume is 61.63 Å³/f.u. The uncorrected formation energy comes out at -1.43 eV per formula unit. The value obtained for the raw total energy is -29.361 eV/cell. As for the size of the total moment: 0.919 μB per atom.